Record 1
A plane-wave DFT calculation with PBE was carried out for an optimized crystal structure of CoPtI2.

a b c (Å): 6.0196 6.0196 7.3747
angles (deg): 65.91 65.91 90.00
With the nearest neighbours (Å) after each atom.
Atoms (fractional coordinates):
I 0.6069 0.1250 0.2500  2 Co 2.55, 2 Pt 2.67
I 0.1431 0.6250 0.2500  2 Co 2.55, 2 Pt 2.67
I 0.3750 0.3931 0.7500  2 Co 2.55, 2 Pt 2.67
I 0.8750 0.8569 0.7500  2 Co 2.55, 2 Pt 2.67
Co 0.5000 0.5000 0.0000  4 I 2.55
Co 0.2500 0.7500 0.5000  4 I 2.55
Pt 0.0000 0.0000 0.0000  4 I 2.67
Pt 0.7500 0.2500 0.5000  4 I 2.67

density of states at the Fermi level: 8.49 states/eV per cell
excess energy over the best structure of this formula in the dataset: 0.00 kJ/mol of atoms
total moment: 4.35 μB/cell
space group: I-42d (122)
formation energy without anion corrections: 0.3879 eV/atom
total energy: -3.674 eV/atom

Record 2
A plane-wave DFT calculation with PBE was carried out for an optimized crystal structure of Pd5Pb2.

a b c (Å): 6.8061 5.8570 7.2606
angles (deg): 90.00 117.95 90.00
With the nearest neighbours (Å) after each atom.
Atoms (fractional coordinates):
Pd 0.3325 0.5000 0.2408  6 Pd 2.82-2.89, 4 Pb 2.84-2.94
Pd 0.0916 0.0000 0.7591  6 Pd 2.82-2.89, 4 Pb 2.84-2.94
Pd 0.2710 0.7500 0.5419  7 Pd 2.82-2.94, 4 Pb 2.93-2.95
Pd 0.7290 0.7500 0.4581  7 Pd 2.82-2.94, 4 Pb 2.93-2.95
Pd 0.7290 0.2500 0.4581  7 Pd 2.82-2.94, 4 Pb 2.93-2.95
Pd 0.2710 0.2500 0.5419  7 Pd 2.82-2.94, 4 Pb 2.93-2.95
Pd 0.9084 0.0000 0.2409  6 Pd 2.82-2.89, 4 Pb 2.84-2.94
Pd 0.6675 0.5000 0.7592  6 Pd 2.82-2.89, 4 Pb 2.84-2.94
Pd 0.5000 0.2500 0.0000  4 Pb 2.84, 8 Pd 2.89-2.94
Pd 0.5000 0.7500 0.0000  4 Pb 2.84, 8 Pd 2.89-2.94
Pb 0.0982 0.5000 0.7884  10 Pd 2.84-2.95
Pb 0.3097 0.0000 0.2116  10 Pd 2.84-2.95
Pb 0.9018 0.5000 0.2116  10 Pd 2.84-2.95
Pb 0.6903 0.0000 0.7884  10 Pd 2.84-2.95

density of states at the Fermi level: 6.61 states/eV per cell
total moment: 0.00 μB/cell
space group: Cccm (66)
total energy: -5.015 eV/atom
ΔE_f: -0.25 eV per atom

Record 3
A plane-wave DFT calculation with PBE was carried out for an optimized crystal structure of BeCr2Tc.

a b c (Å): 2.5329 2.5329 7.7730
angles (deg): 90.00 90.00 108.76
With the nearest neighbours (Å) after each atom.
Atoms (fractional coordinates):
Cr 0.0000 0.0000 0.9928  2 Be 2.35, 6 Cr 2.41-2.53
Cr 0.5000 0.5000 0.2383  6 Cr 2.41-2.53, 2 Tc 2.58
Tc 0.0000 0.0000 0.5109  2 Be 2.42, 4 Tc 2.53, 2 Cr 2.58
Be 0.5000 0.5000 0.7580  2 Cr 2.35, 2 Tc 2.42, 4 Be 2.53

density of states at the Fermi level: 3.17 states/eV per cell
total moment: 0.00 μB/cell
space group: Cmm2 (35)
total energy: -8.239 eV/atom
ΔE_f: 0.10 eV per atom

Record 4
A plane-wave DFT calculation with PBE was carried out for an optimized crystal structure of K3Bi4Pd.

a b c (Å): 6.7080 6.9070 12.8997
angles (deg): 90.00 90.00 90.00
With the nearest neighbours (Å) after each atom.
Atoms (fractional coordinates):
K 0.5212 0.0000 0.0000  2 Pd 3.61, 8 Bi 3.67-4.00, 2 K 4.03
K 0.4788 0.5000 0.5000  2 Pd 3.61, 8 Bi 3.67-4.00, 2 K 4.03
K 0.8372 0.5000 0.7507  1 Pd 3.39, 2 Bi 3.65-3.75
K 0.8372 0.5000 0.2493  1 Pd 3.39, 2 Bi 3.65-3.75
K 0.1628 0.0000 0.7493  1 Pd 3.39, 2 Bi 3.65-3.75
K 0.1628 0.0000 0.2507  1 Pd 3.39, 2 Bi 3.65-3.75
Bi 0.3459 0.5000 0.8720  1 Pd 2.77
Bi 0.3459 0.5000 0.1280  1 Pd 2.77
Bi 0.0063 0.2462 0.0000  1 Pd 2.82
Bi 0.0063 0.7538 0.0000  1 Pd 2.82
Bi 0.9937 0.7462 0.5000  1 Pd 2.82
Bi 0.9937 0.2538 0.5000  1 Pd 2.82
Bi 0.6541 0.0000 0.3720  1 Pd 2.77
Bi 0.6541 0.0000 0.6280  1 Pd 2.77
Pd 0.6765 0.5000 0.0000  4 Bi 2.77-2.82
Pd 0.3235 0.0000 0.5000  4 Bi 2.77-2.82

density of states at the Fermi level: 13.15 states/eV per cell
total moment: 0.00 μB/cell
space group: Pmmn (59)
total energy: -3.250 eV/atom
ΔE_f: -0.25 eV per atom

Record 5
A plane-wave DFT calculation with PBE was carried out for an optimized crystal structure of YTlFe.

a b c (Å): 5.7804 5.7803 3.5344
angles (deg): 72.20 72.20 35.60
With the nearest neighbours (Å) after each atom.
Atoms (fractional coordinates):
Fe 0.9904 0.9903 0.0096  4 Tl 2.87, 4 Y 3.03
Tl 0.3558 0.3558 0.6442  4 Fe 2.87, 1 Y 3.11
Y 0.6539 0.6539 0.3461  4 Fe 3.03, 5 Tl 3.11-3.27

density of states at the Fermi level: 2.74 states/eV per cell
total moment: 1.75 μB/cell
space group: I4mm (107)
total energy: -5.644 eV/atom
ΔE_f: 0.12 eV per atom

Record 6
A plane-wave DFT calculation with PBE was carried out for an optimized crystal structure of SnMo2PdPb.

a b c (Å): 4.9656 5.5730 4.9656
angles (deg): 90.00 90.00 90.00
With the nearest neighbours (Å) after each atom.
Atoms (fractional coordinates):
Pb 0.0000 0.5000 0.0000  2 Sn 2.79
Mo 0.0000 0.0000 0.5000  2 Sn 2.48
Mo 0.5000 0.0000 0.0000  2 Sn 2.48
Sn 0.0000 0.0000 0.0000  4 Mo 2.48
Pd 0.5000 0.5000 0.5000  4 Pb 3.51, 8 Mo 3.73

density of states at the Fermi level: 7.97 states/eV per cell
total moment: 0.00 μB/cell
space group: P4/mmm (123)
total energy: -4.867 eV/atom
ΔE_f: 2.05 eV per atom

Record 7
A plane-wave DFT calculation with PBE was carried out for an optimized crystal structure of Pm2NdAgSe5.

a b c (Å): 4.1745 9.0577 12.6026
angles (deg): 90.00 90.00 103.32
With the nearest neighbours (Å) after each atom.
Atoms (fractional coordinates):
Pm 0.8768 0.7535 0.8046  8 Se 3.01-3.31
Pm 0.1101 0.2203 0.6848  8 Se 3.00-3.18
Pm 0.1232 0.2465 0.3046  8 Se 3.01-3.31
Pm 0.8899 0.7797 0.1848  8 Se 3.00-3.18
Nd 0.8042 0.6084 0.5068  6 Se 2.85-2.98
Nd 0.1958 0.3916 0.0068  6 Se 2.85-2.98
Ag 0.5541 0.1082 0.9615  4 Se 2.57-2.86
Ag 0.4459 0.8918 0.4615  4 Se 2.57-2.86
Se 0.3630 0.7261 0.0001  1 Nd 2.95, 4 Pm 3.16-3.24
Se 0.6905 0.3809 0.8384  1 Ag 2.86, 2 Nd 2.98, 2 Pm 3.18
Se 0.4979 0.9959 0.7733  1 Ag 2.57
Se 0.2879 0.5757 0.6729  2 Nd 2.97, 3 Pm 3.09-3.14
Se 0.9569 0.9137 0.5815  2 Ag 2.59, 1 Nd 2.85
Se 0.6370 0.2739 0.5001  1 Nd 2.95, 4 Pm 3.16-3.24
Se 0.3095 0.6191 0.3384  1 Ag 2.86, 2 Nd 2.98, 2 Pm 3.18
Se 0.5021 0.0041 0.2733  1 Ag 2.57
Se 0.7121 0.4243 0.1729  2 Nd 2.97, 3 Pm 3.09-3.14
Se 0.0431 0.0863 0.0815  2 Ag 2.59, 1 Nd 2.85

density of states at the Fermi level: 0.16 states/eV per cell
total moment: 0.00 μB/cell
space group: Cmc2_1 (36)
formation energy without anion corrections: -1.5211 eV/atom
total energy: -5.359 eV/atom

Record 8
A plane-wave DFT calculation with PBE was carried out for an optimized crystal structure of CdAgBr3.

a b c (Å): 5.4573 5.4573 5.4573
angles (deg): 90.00 90.00 90.00
With the nearest neighbours (Å) after each atom.
Atoms (fractional coordinates):
Cd 0.0000 0.0000 0.0000  6 Br 2.73
Ag 0.5000 0.5000 0.5000  12 Br 3.86
Br 0.0000 0.5000 0.0000  2 Cd 2.73
Br 0.0000 0.0000 0.5000  2 Cd 2.73
Br 0.5000 0.0000 0.0000  2 Cd 2.73

excess energy over the best structure of this formula in the dataset: 34.22 kJ/mol of atoms
total moment: 0.00 μB/cell
space group: Pm-3m (221)
formation energy without anion corrections: -0.2752 eV/atom
total energy: -2.032 eV/atom

Record 9
A plane-wave DFT calculation with PBE was carried out for an optimized crystal structure of Sc3Zn2Os.

a b c (Å): 3.2855 4.6970 7.3952
angles (deg): 108.52 90.00 90.00
With the nearest neighbours (Å) after each atom.
Atoms (fractional coordinates):
Sc 0.5000 0.5000 0.0000  4 Os 2.87, 4 Zn 2.90
Sc 0.5000 0.8438 0.6876  2 Os 2.74, 6 Zn 2.87-2.94
Sc 0.5000 0.1562 0.3124  2 Os 2.74, 6 Zn 2.87-2.94
Zn 0.0000 0.3299 0.6598  8 Sc 2.87-2.94
Zn 0.0000 0.6701 0.3402  8 Sc 2.87-2.94
Os 0.0000 0.0000 0.0000  8 Sc 2.74-2.87

density of states at the Fermi level: 3.34 states/eV per cell
total moment: 0.00 μB/cell
space group: Cmmm (65)
total energy: -5.904 eV/atom
ΔE_f: -0.44 eV per atom

Record 10
A plane-wave DFT calculation with PBE was carried out for an optimized crystal structure of PmBiBr.

a b c (Å): 4.3794 6.3319 8.2029
angles (deg): 113.29 74.50 110.33
With the nearest neighbours (Å) after each atom.
Atoms (fractional coordinates):
Br 0.1622 0.7469 0.9213  3 Pm 3.00-3.10
Br 0.8378 0.2531 0.0787  3 Pm 3.00-3.10
Bi 0.4459 0.7547 0.3564  1 Bi 3.04, 3 Pm 3.30-3.39
Bi 0.5541 0.2453 0.6437  1 Bi 3.04, 3 Pm 3.30-3.39
Pm 0.8283 0.8604 0.7032  3 Br 3.00-3.10, 2 Bi 3.30-3.32
Pm 0.1717 0.1396 0.2968  3 Br 3.00-3.10, 2 Bi 3.30-3.32

density of states at the Fermi level: 0.99 states/eV per cell
excess energy over the best structure of this formula in the dataset: 0.00 kJ/mol of atoms
total moment: 0.00 μB/cell
space group: P-1 (2)
formation energy without anion corrections: -1.1503 eV/atom
total energy: -4.585 eV/atom

Record 11
A plane-wave DFT calculation with PBE was carried out for an optimized crystal structure of PrTaMnOs2.

a b c (Å): 4.2499 4.2499 6.2055
angles (deg): 110.02 110.02 90.00
With the nearest neighbours (Å) after each atom.
Atoms (fractional coordinates):
Pr 0.0000 0.0000 0.0000  8 Os 3.27, 4 Ta 3.45, 4 Mn 3.45
Ta 0.7500 0.2500 0.5000  4 Os 2.56
Mn 0.2500 0.7500 0.5000  4 Os 2.56
Os 0.6180 0.6180 0.2360  2 Mn 2.56, 2 Ta 2.56, 1 Os 2.56
Os 0.3820 0.3820 0.7640  2 Ta 2.56, 2 Mn 2.56, 1 Os 2.56

density of states at the Fermi level: 5.85 states/eV per cell
total moment: 2.10 μB/cell
space group: I-4m2 (119)
total energy: -9.684 eV/atom
ΔE_f: -0.03 eV per atom

Record 12
A plane-wave DFT calculation with PBE was carried out for an optimized crystal structure of YIrPb2O8.

a b c (Å): 4.9917 4.9808 6.8118
angles (deg): 90.00 90.00 89.33
With the nearest neighbours (Å) after each atom.
Atoms (fractional coordinates):
Y 0.0000 0.0000 0.5000  6 O 2.20-2.30
Ir 0.0000 0.0000 0.0000  6 O 1.97-1.99
Pb 0.5000 0.5000 0.7541  6 O 2.19-2.30
Pb 0.5000 0.5000 0.2459  6 O 2.19-2.30
O 0.1811 0.8112 0.2210  1 Ir 1.99, 1 Pb 2.22
O 0.7182 0.7273 0.0000  1 Ir 1.97
O 0.8189 0.1888 0.2210  1 Ir 1.99, 1 Pb 2.22
O 0.8189 0.1888 0.7790  1 Ir 1.99, 1 Pb 2.22
O 0.2818 0.2727 0.0000  1 Ir 1.97
O 0.1811 0.8112 0.7790  1 Ir 1.99, 1 Pb 2.22
O 0.6851 0.6934 0.5000  2 Pb 2.19, 1 Y 2.20
O 0.3149 0.3066 0.5000  2 Pb 2.19, 1 Y 2.20

density of states at the Fermi level: 4.65 states/eV per cell
total moment: 1.66 μB/cell
space group: P2/m (10)
formation energy without anion corrections: -1.3150 eV/atom
total energy: -6.516 eV/atom

total moment of number 11 (PrTaMnOs2)? 2.10 μB/cell